# Rb3NiF PBE with a Hubbard U relaxed
data_Rb3NiF
_space_group_name_H-M_alt 'P m -3 m'
_space_group_IT_number 221
_space_group_name_Hall '-P 4 2 3'
_cell_length_a 6.029
_cell_length_b 6.029
_cell_length_c 6.029
_cell_angle_alpha 90.00
_cell_angle_beta 90.00
_cell_angle_gamma 90.00
loop_
_atom_site_label
_atom_site_fract_x
_atom_site_fract_y
_atom_site_fract_z
Rb1 0.000 0.000 0.500
Ni1 0.000 0.000 0.000
F1 0.500 0.500 0.500
# VASP energy = -7.66 eV for the cell shown